Density functional theory data (PBE-GGA) for crystalline LiTbLuIr at its relaxed geometry.

The value obtained for the formation energy is -0.604 eV/atom. The calculation puts the calculated total energy at -5.5854 eV per atom. The value obtained for the density of states at the Fermi level is 0.69 states/eV per atom. The calculation puts the calculated density at 10.814 g/cm³. As for the total magnetic moment: 0.001 μB/cell.

It has space group F-43m (No. 216), with a = 6.892 Å, b = 6.892 Å, c = 6.892 Å, α = 90.00°, β = 90.00° and γ = 90.00°. Symmetry generates all atoms from Li at (0.000, 0.000, 0.000), Tb at (0.250, 0.250, 0.750), Lu at (0.250, 0.250, 0.250) and Ir at (0.000, 0.000, 0.500).


Density functional theory data (PBE-GGA) for crystalline LiLuThIr at its relaxed geometry.

The value obtained for the formation energy is -0.487 eV/atom. The calculation puts the calculated total energy at -6.1659 eV per atom. The value obtained for the density of states at the Fermi level is 0.81 states/eV per atom. The calculation puts the calculated density at 11.536 g/cm³. As for the total magnetic moment: 0.000 μB/cell.

It has space group F-43m (No. 216), with a = 7.041 Å, b = 7.041 Å, c = 7.041 Å, α = 90.00°, β = 90.00° and γ = 90.00°. Symmetry generates all atoms from Li at (0.000, 0.000, 0.000), Lu at (0.250, 0.250, 0.750), Th at (0.250, 0.250, 0.250) and Ir at (0.000, 0.000, 0.500).


Density functional theory data (PBE-GGA) for crystalline LiLuTiIr at its relaxed geometry.

The value obtained for the formation energy is -0.483 eV/atom. The calculation puts the calculated total energy at -6.2811 eV per atom. The value obtained for the density of states at the Fermi level is 0.93 states/eV per atom. The calculation puts the calculated density at 10.109 g/cm³. As for the total magnetic moment: 1.361 μB/cell.

It has space group F-43m (No. 216), with a = 6.521 Å, b = 6.521 Å, c = 6.521 Å, α = 90.00°, β = 90.00° and γ = 90.00°. Symmetry generates all atoms from Li at (0.000, 0.000, 0.000), Lu at (0.250, 0.250, 0.750), Ti at (0.250, 0.250, 0.250) and Ir at (0.000, 0.000, 0.500).


Density functional theory data (PBE-GGA) for crystalline LiTmLuIr at its relaxed geometry.

The value obtained for the formation energy is -0.648 eV/atom. The calculation puts the calculated total energy at -5.5901 eV per atom. The value obtained for the density of states at the Fermi level is 0.61 states/eV per atom. The calculation puts the calculated density at 11.343 g/cm³. As for the total magnetic moment: 0.000 μB/cell.

It has space group F-43m (No. 216), with a = 6.826 Å, b = 6.826 Å, c = 6.826 Å, α = 90.00°, β = 90.00° and γ = 90.00°. Symmetry generates all atoms from Li at (0.000, 0.000, 0.000), Tm at (0.250, 0.250, 0.250), Lu at (0.250, 0.250, 0.750) and Ir at (0.000, 0.000, 0.500).


Density functional theory data (PBE-GGA) for crystalline LiYLuIr at its relaxed geometry.

The value obtained for the formation energy is -0.605 eV/atom. The calculation puts the calculated total energy at -6.0454 eV per atom. The value obtained for the density of states at the Fermi level is 0.67 states/eV per atom. The calculation puts the calculated density at 9.410 g/cm³. As for the total magnetic moment: 0.001 μB/cell.

It has space group F-43m (No. 216), with a = 6.888 Å, b = 6.888 Å, c = 6.888 Å, α = 90.00°, β = 90.00° and γ = 90.00°. Symmetry generates all atoms from Li at (0.000, 0.000, 0.000), Y at (0.250, 0.250, 0.750), Lu at (0.250, 0.250, 0.250) and Ir at (0.000, 0.000, 0.500).


Density functional theory data (PBE-GGA) for crystalline LiLuZrIr at its relaxed geometry.

The value obtained for the formation energy is -0.555 eV/atom. The calculation puts the calculated total energy at -6.5158 eV per atom. The value obtained for the density of states at the Fermi level is 0.86 states/eV per atom. The calculation puts the calculated density at 10.250 g/cm³. As for the total magnetic moment: 0.004 μB/cell.

It has space group F-43m (No. 216), with a = 6.706 Å, b = 6.706 Å, c = 6.706 Å, α = 90.00°, β = 90.00° and γ = 90.00°. Symmetry generates all atoms from Li at (0.000, 0.000, 0.000), Lu at (0.250, 0.250, 0.750), Zr at (0.250, 0.250, 0.250) and Ir at (0.000, 0.000, 0.500).


Density functional theory data (PBE-GGA) for crystalline Li2MgIr at its relaxed geometry.

The value obtained for the formation energy is 0.069 eV/atom. The calculation puts the calculated total energy at -3.5016 eV per atom. The value obtained for the density of states at the Fermi level is 0.52 states/eV per atom. The calculation puts the calculated density at 5.859 g/cm³. As for the total magnetic moment: 0.000 μB/cell.

It has space group I-42d (No. 122), with a = 3.724 Å, b = 3.724 Å, c = 18.839 Å, α = 90.00°, β = 90.00° and γ = 90.00°. Symmetry generates all atoms from Li at (0.218, 0.750, 0.125), Mg at (0.000, 0.000, 0.500) and Ir at (0.000, 0.000, 0.000).


Density functional theory data (PBE-GGA) for crystalline Li2MgIr at its relaxed geometry.

The value obtained for the formation energy is -0.051 eV/atom. The calculation puts the calculated total energy at -3.6223 eV per atom. The value obtained for the density of states at the Fermi level is 0.60 states/eV per atom. The calculation puts the calculated density at 5.793 g/cm³. As for the total magnetic moment: 0.000 μB/cell.

It has space group Cmm2 (No. 35), with a = 3.007 Å, b = 4.695 Å, c = 9.356 Å, α = 90.00°, β = 90.00° and γ = 90.00°. Symmetry generates all atoms from Li at (0.000, 0.000, 0.000), Li at (0.000, 0.500, 0.280), Mg at (0.000, 0.500, 0.731) and Ir at (0.000, 0.000, 0.500).


Density functional theory data (PBE-GGA) for crystalline Li2MgIr at its relaxed geometry.

The value obtained for the formation energy is -0.109 eV/atom. The calculation puts the calculated total energy at -3.6797 eV per atom. The value obtained for the density of states at the Fermi level is 0.42 states/eV per atom. The calculation puts the calculated density at 6.026 g/cm³. As for the total magnetic moment: 0.000 μB/cell.

It has space group P4mm (No. 99), with a = 3.188 Å, b = 3.188 Å, c = 6.248 Å, α = 90.00°, β = 90.00° and γ = 90.00°. Symmetry generates all atoms from Li at (0.000, 0.000, 0.000), Li at (0.500, 0.500, 0.238), Mg at (0.000, 0.000, 0.572) and Ir at (0.500, 0.500, 0.800).


Density functional theory data (PBE-GGA) for crystalline LiMgIr at its relaxed geometry.

The value obtained for the formation energy is -0.172 eV/atom. The calculation puts the calculated total energy at -4.2953 eV per atom. The value obtained for the density of states at the Fermi level is 0.44 states/eV per atom. The calculation puts the calculated density at 8.395 g/cm³. As for the total magnetic moment: 0.000 μB/cell.

It has space group I4mm (No. 107), with a = 3.226 Å, b = 3.226 Å, c = 8.496 Å, α = 90.00°, β = 90.00° and γ = 90.00°. Symmetry generates all atoms from Li at (0.000, 0.000, 0.000), Mg at (0.000, 0.000, 0.687) and Ir at (0.000, 0.000, 0.354).


Density functional theory data (PBE-GGA) for crystalline Li2MgIr at its relaxed geometry.

The value obtained for the formation energy is -0.056 eV/atom. The calculation puts the calculated total energy at -3.6267 eV per atom. The value obtained for the density of states at the Fermi level is 0.84 states/eV per atom. The calculation puts the calculated density at 5.850 g/cm³. As for the total magnetic moment: 0.004 μB/cell.

It has space group R3m (No. 160, hexagonal axes), with a = 2.8400 Å, b = 2.8400 Å, c = 28.0872 Å, α = 90.00°, β = 90.00° and γ = 120.00°. Symmetry generates all atoms from Li at (0.0000, 0.0000, 0.0000), Li at (0.0000, 0.0000, 0.2409), Mg at (0.0000, 0.0000, 0.7556) and Ir at (0.0000, 0.0000, 0.5005).


Density functional theory data (PBE-GGA) for crystalline Li2MgIr at its relaxed geometry.

The value obtained for the formation energy is -0.139 eV/atom. The calculation puts the calculated total energy at -3.7094 eV per atom. The value obtained for the density of states at the Fermi level is 0.34 states/eV per atom. The calculation puts the calculated density at 6.353 g/cm³. As for the total magnetic moment: 0.000 μB/cell.

It has space group Pmmm (No. 47), with a = 3.158 Å, b = 4.284 Å, c = 4.450 Å, α = 90.00°, β = 90.00° and γ = 90.00°. Symmetry generates all atoms from Li at (0.000, 0.000, 0.000), Li at (0.500, 0.500, 0.000), Mg at (0.000, 0.500, 0.500) and Ir at (0.500, 0.000, 0.500).


Density functional theory data (PBE-GGA) for crystalline Li2MgIr at its relaxed geometry.

The value obtained for the formation energy is -0.115 eV/atom. The calculation puts the calculated total energy at -3.6856 eV per atom. The value obtained for the density of states at the Fermi level is 0.53 states/eV per atom. The calculation puts the calculated density at 6.442 g/cm³. As for the total magnetic moment: 0.000 μB/cell.

It has space group I4/mmm (No. 139), with a = 3.875 Å, b = 3.875 Å, c = 7.911 Å, α = 90.00°, β = 90.00° and γ = 90.00°. Symmetry generates all atoms from Li at (0.000, 0.500, 0.250), Mg at (0.000, 0.000, 0.000) and Ir at (0.000, 0.000, 0.500).


Density functional theory data (PBE-GGA) for crystalline Li2MgIr at its relaxed geometry.

The value obtained for the formation energy is -0.088 eV/atom. The calculation puts the calculated total energy at -3.6586 eV per atom. The value obtained for the density of states at the Fermi level is 0.55 states/eV per atom. The calculation puts the calculated density at 6.178 g/cm³. As for the total magnetic moment: 0.249 μB/cell.

It has space group Cm (No. 8), with a = 9.020 Å, b = 2.741 Å, c = 5.048 Å, α = 90.00°, β = 97.15° and γ = 90.00°. Symmetry generates all atoms from Li at (0.000, 0.000, 0.000), Li at (0.243, 0.000, 0.760), Mg at (0.485, 0.000, 0.463) and Ir at (0.241, 0.500, 0.245).


Density functional theory data (PBE-GGA) for crystalline LiMgIr at its relaxed geometry.

The value obtained for the formation energy is -0.256 eV/atom. The calculation puts the calculated total energy at -4.3791 eV per atom. The value obtained for the density of states at the Fermi level is 0.55 states/eV per atom. The calculation puts the calculated density at 7.969 g/cm³. As for the total magnetic moment: 0.000 μB/cell.

It has space group Imma (No. 74), with a = 4.893 Å, b = 5.089 Å, c = 7.480 Å, α = 90.00°, β = 90.00° and γ = 90.00°. Symmetry generates all atoms from Li at (0.250, 0.250, 0.250), Mg at (0.000, 0.250, 0.634) and Ir at (0.000, 0.000, 0.000).


Density functional theory data (PBE-GGA) for crystalline Li2MgIr at its relaxed geometry.

The value obtained for the formation energy is 0.035 eV/atom. The calculation puts the calculated total energy at -3.5357 eV per atom. The value obtained for the density of states at the Fermi level is 0.89 states/eV per atom. The calculation puts the calculated density at 5.890 g/cm³. As for the total magnetic moment: 0.000 μB/cell.

It has space group P4/mmm (No. 123), with a = 2.740 Å, b = 2.740 Å, c = 8.651 Å, α = 90.00°, β = 90.00° and γ = 90.00°. Symmetry generates all atoms from Li at (0.000, 0.000, 0.210), Mg at (0.500, 0.500, 0.500) and Ir at (0.500, 0.500, 0.000).


Density functional theory data (PBE-GGA) for crystalline LiMgIr at its relaxed geometry.

The value obtained for the formation energy is -0.101 eV/atom. The calculation puts the calculated total energy at -4.2245 eV per atom. The value obtained for the density of states at the Fermi level is 0.82 states/eV per atom. The calculation puts the calculated density at 7.757 g/cm³. As for the total magnetic moment: 0.000 μB/cell.

It has space group P3m1 (No. 156), with a = 2.8429 Å, b = 2.8429 Å, c = 6.8343 Å, α = 90.00°, β = 90.00° and γ = 120.00°. Symmetry generates all atoms from Li at (0.0000, 0.0000, 0.0000), Mg at (0.6667, 0.3333, 0.3842) and Ir at (0.3333, 0.6667, 0.6976).


Density functional theory data (PBE-GGA) for crystalline LiMg4Ir at its relaxed geometry.

The value obtained for the formation energy is 0.213 eV/atom. The calculation puts the calculated total energy at -2.6460 eV per atom. The value obtained for the density of states at the Fermi level is 0.72 states/eV per atom. The calculation puts the calculated density at 4.298 g/cm³. As for the total magnetic moment: 0.000 μB/cell.

It has space group F-43m (No. 216), with a = 7.708 Å, b = 7.708 Å, c = 7.708 Å, α = 90.00°, β = 90.00° and γ = 90.00°. Symmetry generates all atoms from Li at (0.000, 0.000, 0.000), Mg at (0.124, 0.124, 0.624) and Ir at (0.250, 0.250, 0.250).


Density functional theory data (PBE-GGA) for crystalline Li2MgIr at its relaxed geometry.

The value obtained for the formation energy is -0.164 eV/atom. The calculation puts the calculated total energy at -3.7350 eV per atom. The value obtained for the density of states at the Fermi level is 0.36 states/eV per atom. The calculation puts the calculated density at 6.256 g/cm³. As for the total magnetic moment: 0.000 μB/cell.

It has space group Immm (No. 71), with a = 3.123 Å, b = 4.368 Å, c = 8.967 Å, α = 90.00°, β = 90.00° and γ = 90.00°. Symmetry generates all atoms from Li at (0.000, 0.000, 0.233), Mg at (0.000, 0.500, 0.000) and Ir at (0.000, 0.500, 0.500).


Density functional theory data (PBE-GGA) for crystalline Li2MgIr at its relaxed geometry.

The value obtained for the formation energy is -0.089 eV/atom. The calculation puts the calculated total energy at -3.6601 eV per atom. The value obtained for the density of states at the Fermi level is 0.64 states/eV per atom. The calculation puts the calculated density at 6.351 g/cm³. As for the total magnetic moment: 0.000 μB/cell.

It has space group P4/mmm (No. 123), with a = 3.811 Å, b = 3.811 Å, c = 4.149 Å, α = 90.00°, β = 90.00° and γ = 90.00°. Symmetry generates all atoms from Li at (0.000, 0.500, 0.000), Mg at (0.000, 0.000, 0.500) and Ir at (0.500, 0.500, 0.500).